(1)
Entry from Alexandria via LeMat-Bulk: an optimized crystal structure of HfV2Pt2 (PBE).

Cell: 3.470 3.470 13.814 Å, 90.00 90.00 90.00°
Space group I4/mmm (No. 139)
Inequivalent atoms, fractional coordinates:
Hf 0.000 0.000 0.000 (multiplicity 2)
V 0.000 0.500 0.250 (multiplicity 4)
Pt 0.000 0.000 0.401 (multiplicity 4)

Results
The calculation puts the energy above the most stable polymorph in this dataset at 0 meV/atom.

***

(2)
Entry from Alexandria via LeMat-Bulk: an optimized crystal structure of HfV2Pt2 (PBE).

Cell: 7.633 7.633 2.741 Å, 90.00 90.00 90.00°
Space group P4/mbm (No. 127)
Inequivalent atoms, fractional coordinates:
Hf 0.000 0.000 0.000 (multiplicity 2)
V 0.113 0.387 0.000 (multiplicity 4)
Pt 0.181 0.681 0.500 (multiplicity 4)

Results
The calculation puts the energy above the most stable polymorph in this dataset at 31 meV/atom.

***

(3)
Entry from Alexandria via LeMat-Bulk: an optimized crystal structure of HfV2Pt (PBE).

Cell: 6.283 6.283 6.283 Å, 90.00 90.00 90.00°
Space group Fm-3m (No. 225)
Inequivalent atoms, fractional coordinates:
Hf 0.000 0.000 0.000 (multiplicity 4)
V 0.250 0.250 0.250 (multiplicity 8)
Pt 0.000 0.000 0.500 (multiplicity 4)

Results
The calculation puts the energy above the most stable polymorph in this dataset at 0 meV/atom.

***

(4)
Entry from Alexandria via LeMat-Bulk: an optimized crystal structure of HfVPt2 (PBE).

Cell: 6.485 6.485 6.485 Å, 90.00 90.00 90.00°
Space group Fm-3m (No. 225)
Inequivalent atoms, fractional coordinates:
Hf 0.000 0.000 0.000 (multiplicity 4)
V 0.000 0.000 0.500 (multiplicity 4)
Pt 0.250 0.250 0.250 (multiplicity 8)

Results
The calculation puts the energy above the most stable polymorph in this dataset at 113 meV/atom.

***

(5)
Entry from Alexandria via LeMat-Bulk: an optimized crystal structure of HfVPt2 (PBE).

Cell: 2.842 2.842 7.925 Å, 90.00 90.00 90.00°
Space group P4/mmm (No. 123)
Inequivalent atoms, fractional coordinates:
Hf 0.000 0.000 0.000 (multiplicity 1)
V 0.000 0.000 0.500 (multiplicity 1)
Pt 0.500 0.500 0.266 (multiplicity 2)

Results
The calculation puts the energy above the most stable polymorph in this dataset at 73 meV/atom.

***

(6)
Entry from Alexandria via LeMat-Bulk: an optimized crystal structure of Hf2VPt9 (PBE).

Cell: 3.995 3.995 12.004 Å, 90.00 90.00 90.00°
Space group P4/mmm (No. 123)
Inequivalent atoms, fractional coordinates:
Hf 0.000 0.000 0.170 (multiplicity 2)
V 0.000 0.000 0.500 (multiplicity 1)
Pt 0.000 0.500 0.000 (multiplicity 2)
Pt 0.000 0.500 0.338 (multiplicity 4)
Pt 0.500 0.500 0.169 (multiplicity 2)
Pt 0.500 0.500 0.500 (multiplicity 1)

***

(7)
Entry from Alexandria via LeMat-Bulk: an optimized crystal structure of Hf3VPt12 (PBE).

Cell: 4.005 4.005 16.034 Å, 90.00 90.00 90.00°
Space group P4/mmm (No. 123)
Inequivalent atoms, fractional coordinates:
Hf 0.000 0.000 0.000 (multiplicity 1)
Hf 0.000 0.000 0.254 (multiplicity 2)
V 0.000 0.000 0.500 (multiplicity 1)
Pt 0.000 0.500 0.126 (multiplicity 4)
Pt 0.000 0.500 0.379 (multiplicity 4)
Pt 0.500 0.500 0.000 (multiplicity 1)
Pt 0.500 0.500 0.252 (multiplicity 2)
Pt 0.500 0.500 0.500 (multiplicity 1)

***

(8)
Entry from Alexandria via LeMat-Bulk: an optimized crystal structure of Hf2VPt2 (PBE).

Cell: 7.453 7.453 3.372 Å, 90.00 90.00 90.00°
Space group P4/mbm (No. 127)
Inequivalent atoms, fractional coordinates:
Hf 0.169 0.331 0.000 (multiplicity 4)
V 0.000 0.000 0.500 (multiplicity 2)
Pt 0.133 0.633 0.500 (multiplicity 4)

Results
The calculation puts the energy above the most stable polymorph in this dataset at 0 meV/atom.

***

| no. | total energy (eV per atom) |
| --- | --- |
| 1 | -8.511 |
| 2 | -8.480 |
| 3 | -8.746 |
| 4 | -8.430 |
| 5 | -8.470 |
| 6 | -7.823 |
| 7 | -7.899 |
| 8 | -8.891 |